VASP calculation (GGA+U) on crystalline Ti3CoNi2P6O24 at its relaxed geometry.

Calculated values
DOS at the Fermi energy ... 7.76 states/eV per cell
SG ... R3 (146)
Energy ... -265.8 eV per cell
Crystal system ... trigonal

Lattice parameters (Å, degrees): 8.4821 8.4821 8.4821 61.10 61.10 61.10
With the nearest neighbours (Å) after each atom.
Fractional coordinates of all 36 atoms:
1 Ti 0.8576 0.8576 0.8576  6 O 1.90-2.05
2 Ti 0.6453 0.6453 0.6453  6 O 1.88-2.03
3 Ti 0.3545 0.3545 0.3545  6 O 1.87-2.09
4 Co 0.1420 0.1420 0.1420  6 O 1.98-2.13
5 Ni 0.0025 0.0025 0.0025  6 O 2.11-2.17
6 Ni 0.5013 0.5013 0.5013  6 O 2.15-2.18
7 P 0.7484 0.4559 0.0470  4 O 1.53-1.56
8 P 0.4559 0.0470 0.7484  4 O 1.53-1.56
9 P 0.0470 0.7484 0.4559  4 O 1.53-1.56
10 P 0.9530 0.2472 0.5440  4 O 1.50-1.57
11 P 0.5440 0.9530 0.2472  4 O 1.50-1.57
12 P 0.2472 0.5440 0.9530  4 O 1.50-1.57
13 O 0.8903 0.6661 0.5175  1 P 1.55
14 O 0.6661 0.5175 0.8903  1 P 1.55
15 O 0.9452 0.0889 0.7439  1 P 1.57
16 O 0.5175 0.8903 0.6661  1 P 1.55
17 O 0.9850 0.1833 0.3916  1 P 1.50
18 O 0.7552 0.4095 0.5698  1 P 1.57
19 O 0.7439 0.9452 0.0889  1 P 1.57
20 O 0.5698 0.7552 0.4095  1 P 1.57
21 O 0.8154 0.6189 0.0004  1 P 1.55
22 O 0.4095 0.5698 0.7552  1 P 1.57
23 O 0.9040 0.2629 0.0481  1 P 1.53
24 O 0.6189 0.0004 0.8154  1 P 1.55
25 O 0.3916 0.9850 0.1833  1 P 1.50
26 O 0.0889 0.7439 0.9452  1 P 1.57
27 O 0.5881 0.4442 0.2447  1 P 1.56
28 O 0.1833 0.3916 0.9850  1 P 1.50
29 O 0.4442 0.2447 0.5881  1 P 1.56
30 O 0.2629 0.0481 0.9040  1 P 1.53
31 O 0.2447 0.5881 0.4442  1 P 1.56
32 O 0.0004 0.8154 0.6189  1 P 1.55
33 O 0.4943 0.1179 0.3158  1 P 1.57
34 O 0.0481 0.9040 0.2629  1 P 1.53
35 O 0.3158 0.4943 0.1179  1 P 1.57
36 O 0.1179 0.3158 0.4943  1 P 1.57